Entry 1:
The following is a PBE calculation of an optimized crystal structure of GeP2N, from Alexandria via LeMat-Bulk.

Unit cell a=6.6654 b=6.6654 c=6.6654 alpha=139.33 beta=139.33 gamma=58.88
Fractional positions:
Ge: 0.0000 0.0000 0.0000
Ge: 0.7500 0.2500 0.5000
P: 0.2230 0.6250 0.0980
P: 0.3750 0.4730 0.5980
P: 0.5270 0.1250 0.9020
P: 0.8750 0.7770 0.4020
N: 0.2500 0.7500 0.5000
N: 0.5000 0.5000 0.0000

Values from the calculation:
Formation energy from raw total energies ... 653 meV/atom
Fermi-level density of states ... 2.2 states/eV per cell
Space-group type ... I-42d, No. 122
Mass density ... 4.0 g cm⁻³
Energy relative to the lowest polymorph listed for this composition ... 462 meV per atom

Entry 2:
The following is a PBE calculation of an optimized crystal structure of AcZrSnO6, from Alexandria via LeMat-Bulk.

Unit cell a=5.5945 b=5.5945 c=10.5601 alpha=90.00 beta=90.00 gamma=120.00
Fractional positions:
Ac: 0.0000 0.0000 0.0000
Ac: 0.0000 0.0000 0.5000
Zr: 0.3333 0.6667 0.2500
Zr: 0.6667 0.3333 0.7500
Sn: 0.3333 0.6667 0.7500
Sn: 0.6667 0.3333 0.2500
O: 0.0045 0.3697 0.6420
O: 0.0045 0.6348 0.8580
O: 0.3652 0.3697 0.8580
O: 0.3652 0.9955 0.6420
O: 0.3697 0.0045 0.1420
O: 0.3697 0.3652 0.3580
O: 0.6303 0.6348 0.6420
O: 0.6303 0.9955 0.8580
O: 0.6348 0.0045 0.3580
O: 0.6348 0.6303 0.1420
O: 0.9955 0.3652 0.1420
O: 0.9955 0.6303 0.3580

Values from the calculation:
Formation energy from raw total energies ... -2489 meV/atom
Fermi-level density of states ... 16.3 states/eV per cell
Space-group type ... P-31c, No. 163
Mass density ... 6.2 g cm⁻³

Entry 3:
The following is a PBE calculation of an optimized crystal structure of ScPd6Au3, from Alexandria via LeMat-Bulk.

Unit cell a=8.8567 b=4.1166 c=9.0778 alpha=90.00 beta=92.08 gamma=90.00
Fractional positions:
Sc: 0.0631 0.2500 0.3766
Sc: 0.9369 0.7500 0.6234
Pd: 0.0486 0.7500 0.9003
Pd: 0.1379 0.2500 0.6902
Pd: 0.1534 0.7500 0.2007
Pd: 0.2368 0.7500 0.4991
Pd: 0.3515 0.2500 0.3011
Pd: 0.4508 0.7500 0.1002
Pd: 0.5492 0.2500 0.8998
Pd: 0.6485 0.7500 0.6989
Pd: 0.7632 0.2500 0.5009
Pd: 0.8466 0.2500 0.7993
Pd: 0.8621 0.7500 0.3098
Pd: 0.9514 0.2500 0.0997
Au: 0.2489 0.2500 0.0018
Au: 0.3443 0.7500 0.7994
Au: 0.4473 0.2500 0.5996
Au: 0.5527 0.7500 0.4004
Au: 0.6557 0.2500 0.2006
Au: 0.7511 0.7500 0.9982

Values from the calculation:
Fermi-level density of states ... 12.5 states/eV per cell
Space-group type ... P2_1/m, No. 11
ΔE_f ... -34.1 kJ/mol of atoms
Mass density ... 12.8 g cm⁻³
Energy relative to the lowest polymorph listed for this composition ... 0 meV per atom

Entry 4:
The following is a PBE calculation of an optimized crystal structure of NpV, from Alexandria via LeMat-Bulk.

Unit cell a=2.7162 b=4.5259 c=5.2363 alpha=90.00 beta=104.72 gamma=90.00
Fractional positions:
Np: 0.0621 0.2500 0.3934
Np: 0.9379 0.7500 0.6066
V: 0.3486 0.7500 0.0861
V: 0.6514 0.2500 0.9139

Values from the calculation:
Fermi-level density of states ... 6.8 states/eV per cell
Space-group type ... P2_1/m, No. 11
ΔE_f ... 10.4 kJ/mol of atoms
Mass density ... 15.4 g cm⁻³

Entry 5:
The following is a PBE calculation of an optimized crystal structure of NdYCd, from Alexandria via LeMat-Bulk.

Unit cell a=8.1698 b=8.1698 c=4.7925 alpha=90.00 beta=90.00 gamma=120.00
Fractional positions:
Nd: 0.0000 0.7434 0.0000
Nd: 0.2566 0.2566 0.0000
Nd: 0.7434 0.0000 0.0000
Y: 0.0000 0.4160 0.5000
Y: 0.4160 0.0000 0.5000
Y: 0.5840 0.5840 0.5000
Cd: 0.0000 0.0000 0.5000
Cd: 0.3333 0.6667 0.0000
Cd: 0.6667 0.3333 0.0000

Values from the calculation:
Fermi-level density of states ... 12.1 states/eV per cell
Space-group type ... P-62m, No. 189
ΔE_f ... -10.2 kJ/mol of atoms
Mass density ... 6.2 g cm⁻³
Energy relative to the lowest polymorph listed for this composition ... 98 meV per atom

Entry 6:
The following is a PBE calculation of an optimized crystal structure of KCd2Sb, from Alexandria via LeMat-Bulk.

Unit cell a=3.4173 b=3.4173 c=10.2413 alpha=90.00 beta=90.00 gamma=97.62
Fractional positions:
K: 0.0000 0.0000 0.0000
Cd: 0.5000 0.5000 0.2705
Cd: 0.5000 0.5000 0.7295
Sb: 0.0000 0.0000 0.5000

Values from the calculation:
Formation energy from raw total energies ... 35 meV/atom
Fermi-level density of states ... 1.4 states/eV per cell
Space-group type ... Cmmm, No. 65
Mass density ... 5.4 g cm⁻³

Entry 7:
The following is a PBE calculation of an optimized crystal structure of SmTcAs, from Alexandria via LeMat-Bulk.

Unit cell a=4.1358 b=4.1358 c=7.2038 alpha=90.00 beta=90.00 gamma=90.00
Fractional positions:
Sm: 0.2500 0.2500 0.1694
Sm: 0.7500 0.7500 0.8306
Tc: 0.2500 0.7500 0.5000
Tc: 0.7500 0.2500 0.5000
As: 0.2500 0.2500 0.7101
As: 0.7500 0.7500 0.2899

Values from the calculation:
Fermi-level density of states ... 7.4 states/eV per cell
Space-group type ... P4/nmm, No. 129
ΔE_f ... -64.2 kJ/mol of atoms
Mass density ... 8.7 g cm⁻³

Entry 8:
The following is a PBE calculation of an optimized crystal structure of LaPr3N3, from Alexandria via LeMat-Bulk.

Unit cell a=5.2378 b=5.2378 c=5.2378 alpha=90.00 beta=90.00 gamma=90.00
Fractional positions:
La: 0.0000 0.0000 0.0000
Pr: 0.0000 0.5000 0.5000
Pr: 0.5000 0.0000 0.5000
Pr: 0.5000 0.5000 0.0000
N: 0.0000 0.0000 0.5000
N: 0.0000 0.5000 0.0000
N: 0.5000 0.0000 0.0000

Values from the calculation:
Formation energy from raw total energies ... -1069 meV/atom
Fermi-level density of states ... 3.3 states/eV per cell
Space-group type ... Pm-3m, No. 221
Mass density ... 7.0 g cm⁻³
Energy relative to the lowest polymorph listed for this composition ... 0 meV per atom

Entry 9:
The following is a PBE calculation of an optimized crystal structure of CdBI2N, from Alexandria via LeMat-Bulk.

Unit cell a=7.7876 b=7.7876 c=2.7552 alpha=90.00 beta=90.00 gamma=90.00
Fractional positions:
Cd: 0.0000 0.0000 0.0000
B: 0.5000 0.5000 0.5000
I: 0.0000 0.5000 0.5000
I: 0.5000 0.0000 0.5000
N: 0.5000 0.5000 0.0000

Values from the calculation:
Formation energy from raw total energies ... -47 meV/atom
Fermi-level density of states ... 0.6 states/eV per cell
Space-group type ... P4/mmm, No. 123
Mass density ... 3.9 g cm⁻³
Energy relative to the lowest polymorph listed for this composition ... 0 meV per atom

Entry 10:
The following is a PBE calculation of an optimized crystal structure of KCdSn4, from Alexandria via LeMat-Bulk.

Unit cell a=6.3756 b=6.3756 c=6.3756 alpha=60.00 beta=60.00 gamma=60.00
Fractional positions:
K: 0.0000 0.0000 0.0000
Cd: 0.2500 0.2500 0.2500
Sn: 0.1264 0.6245 0.6245
Sn: 0.6245 0.1264 0.6245
Sn: 0.6245 0.6245 0.1264
Sn: 0.6245 0.6245 0.6245

Values from the calculation:
Fermi-level density of states ... 6.7 states/eV per cell
Space-group type ... F-43m, No. 216
ΔE_f ... 2.1 kJ/mol of atoms
Mass density ... 5.7 g cm⁻³
Energy relative to the lowest polymorph listed for this composition ... 106 meV per atom